Record 1
RbTaNbTe (GGA-PBE, relaxed); symmetry = Pm; relative energy among the computed polymorphs = 39.3 kJ per mole of atoms; energy relative to the elements, uncorrected = 0.675 eV per atom
1.0
6.204 0.000 0.000
0.000 3.213 0.000
-1.931 0.000 6.189
Rb Ta Nb Te
1 1 1 1
Direct
0.000 0.000 0.000
0.411 0.000 0.540
0.647 0.500 0.373
0.469 0.500 0.916

=====

Record 2
RbTaNbTe (GGA-PBE, relaxed); symmetry = P1; relative energy among the computed polymorphs = 0.6 kJ per mole of atoms; energy relative to the elements, uncorrected = 0.273 eV per atom
1.0
3.577 0.000 0.000
0.000 4.192 0.000
-1.772 -2.076 8.129
Rb Ta Nb Te
1 1 1 1
Direct
0.000 0.000 0.000
0.281 0.781 0.567
0.776 0.276 0.558
0.650 0.650 0.303

=====

Record 3
RbTa2TiNb (GGA-PBE, relaxed); symmetry = P4/mmm; energy relative to the elements = 850 kJ/mol of formula units
1.0
4.986 0.000 0.000
0.000 4.986 0.000
0.000 0.000 4.930
Rb Ta Ti Nb
1 2 1 1
Direct
0.000 0.000 0.000
0.000 0.500 0.500
0.500 0.000 0.500
0.500 0.500 0.500
0.500 0.500 0.000

=====

Record 4
RbTaNb2W (GGA-PBE, relaxed); symmetry = P4/mmm; energy relative to the elements = 913 kJ/mol of formula units
1.0
5.111 0.000 0.000
0.000 5.111 0.000
0.000 0.000 4.972
Rb Ta Nb W
1 1 2 1
Direct
0.000 0.000 0.000
0.500 0.500 0.500
0.000 0.500 0.500
0.500 0.000 0.500
0.500 0.500 0.000

=====

Record 5
RbTa2NbZn (GGA-PBE, relaxed); symmetry = P4/mmm; energy relative to the elements = 1419 kJ/mol of formula units
1.0
4.824 0.000 0.000
0.000 4.824 0.000
0.000 0.000 4.800
Rb Ta Nb Zn
1 2 1 1
Direct
0.000 0.000 0.000
0.000 0.500 0.000
0.500 0.000 0.000
0.500 0.500 0.500
0.000 0.000 0.500

=====

Record 6
RbNb3Tc (GGA-PBE, relaxed); symmetry = Pm-3m; energy relative to the elements = 1453 kJ/mol of formula units; relative energy among the computed polymorphs = 163.7 kJ per mole of atoms
1.0
4.727 0.000 0.000
0.000 4.727 0.000
0.000 0.000 4.727
Rb Nb Tc
1 3 1
Direct
0.000 0.000 0.000
0.000 0.000 0.500
0.000 0.500 0.000
0.500 0.000 0.000
0.500 0.500 0.500

=====

Quick rundown of M_tot, same order as above: 0.00 0.00 0.00 0.75 0.00 0.75 μB per formula unit
Quick rundown of final energy, same order as above: -5.8332 -6.2348 -6.7661 -7.2898 -4.2615 -5.2961 eV/atom